[1]
PmGd2Pb after structural relaxation, computed with GGA-PBE.

```
PmGd2Pb
1.0
4.935 0.000 0.000
0.000 4.917 0.000
0.000 0.000 4.917
Pm Gd Pb
1 2 1
Direct
0.500 0.500 0.500 Pm
0.000 0.000 0.500 Gd
0.000 0.500 0.000 Gd
0.500 0.000 0.000 Pb
```

Computed properties:
* space group: No. 123
* offset from the most stable computed form: 0 meV per atom
* energy of formation from the pure elements: -0.332 eV/atom

[2]
Ac3Ir2Cl after structural relaxation, computed with GGA-PBE.

```
Ac3Ir2Cl
1.0
-4.467 2.456 6.226
0.104 -3.838 -7.072
1.968 -9.338 5.096
Ac Cl Ir
6 2 4
Direct
0.617 0.383 0.557 Ac
0.383 0.617 0.443 Ac
0.617 0.383 0.943 Ac
0.892 0.108 0.750 Ac
0.383 0.617 0.057 Ac
0.108 0.892 0.250 Ac
0.224 0.776 0.750 Cl
0.776 0.224 0.250 Cl
0.490 0.510 0.750 Ir
0.000 0.000 0.000 Ir
0.000 0.000 0.500 Ir
0.510 0.490 0.250 Ir
```

Computed properties:
* ΔE_f (raw): -0.70 eV/atom
* space group: No. 63

[3]
Tm4SnPb2 after structural relaxation, computed with GGA-PBE.

```
Tm4SnPb2
1.0
7.932 -1.070 -0.155
-1.634 7.834 0.156
-3.036 -3.490 6.535
Pb Tm Sn
4 8 2
Direct
0.501 0.375 0.626 Pb
0.125 0.499 0.874 Pb
0.749 0.875 0.374 Pb
0.625 0.251 0.126 Pb
0.518 0.769 0.891 Tm
0.372 0.482 0.250 Tm
0.019 0.268 0.391 Tm
0.731 0.122 0.750 Tm
0.878 0.628 0.609 Tm
0.372 0.981 0.250 Tm
0.231 0.122 0.750 Tm
0.878 0.628 0.109 Tm
0.000 0.000 0.000 Sn
0.250 0.750 0.500 Sn
```

Computed properties:
* space group: No. 122
* energy of formation from the pure elements: -0.552 eV/atom